5
Lattice="-0.7450 3.7605 2.4136 -0.5127 -2.5814 3.8637 4.4407 0.3510 0.8238" Properties=species:S:1:pos:R:3 comment="GGA-PBE Na2NbCoOs, optimized geometry" dos_at_fermi_per_ev_cell=5.0 e_form_ev_per_atom=1.703 crystal_system=tetragonal magnetic_moment_mub_per_fu=0.60 pbc="T T T"
Co 0.0000 0.0000 0.0000
Nb -0.2564 -1.2907 1.9318
Os 1.5915 0.7650 3.5506
Na 2.2204 0.1755 0.4119
Na -0.3725 1.8802 1.2068

5
Lattice="-4.4633 -0.0630 -1.5038 0.0384 -4.0710 0.0565 -1.5044 0.0478 4.4633" Properties=species:S:1:pos:R:3 comment="GGA-PBE NaNb2CoP, optimized geometry" dos_at_fermi_per_ev_cell=6.8 e_form_ev_per_atom=2.064 crystal_system=tetragonal magnetic_moment_mub_per_fu=0.00 pbc="T T T"
P -2.9647 -2.0431 1.5080
Nb -0.7522 0.0239 2.2316
Nb -2.2317 -0.0315 -0.7519
Co 0.0192 -2.0355 0.0283
Na 0.0000 0.0000 0.0000

- Number 2 is which compound?
  NaNb2CoP

- Which formula does entry 2 have?
  NaNb2CoP